Run i
This record from Alexandria via LeMat-Bulk describes an optimized crystal structure of BeAs2RuSe. The functional is PBE.

Lattice parameters (Å, degrees): 4.5978 4.5978 5.4542 90.00 90.00 90.00
Sites, in units of the cell vectors:
Be1 0.0000 0.0000 0.0000
As1 0.0000 0.5000 0.5000
As2 0.5000 0.0000 0.5000
Ru1 0.5000 0.5000 0.5000
Se1 0.5000 0.5000 0.0000

Values from the calculation:
* crystal system: tetragonal

Run ii
This record from Alexandria via LeMat-Bulk describes an optimized crystal structure of BeAs2RuSe. The functional is PBE.

Lattice parameters (Å, degrees): 4.2926 4.2926 4.6297 90.00 90.00 90.00
Sites, in units of the cell vectors:
Be1 0.0000 0.0000 0.0000
As1 0.0000 0.5000 0.0000
As2 0.5000 0.0000 0.0000
Ru1 0.5000 0.5000 0.5000
Se1 0.0000 0.0000 0.5000

Values from the calculation:
* crystal system: tetragonal

Going by the computed energies, the most stable comes first: run ii, run i.

Run i
This record from Alexandria via LeMat-Bulk describes an optimized crystal structure of BeAs3S. The functional is PBE.

Lattice parameters (Å, degrees): 4.4772 4.4772 4.4772 90.00 90.00 90.00
Sites, in units of the cell vectors:
Be1 0.0000 0.0000 0.0000
As1 0.0000 0.0000 0.5000
As2 0.0000 0.5000 0.0000
As3 0.5000 0.0000 0.0000
S1 0.5000 0.5000 0.5000

Values from the calculation:
* crystal system: cubic

Run ii
This record from Alexandria via LeMat-Bulk describes an optimized crystal structure of BeAs3S. The functional is PBE.

Lattice parameters (Å, degrees): 4.7519 4.7519 4.7519 90.00 90.00 90.00
Sites, in units of the cell vectors:
Be1 0.0000 0.0000 0.0000
As1 0.0000 0.5000 0.5000
As2 0.5000 0.0000 0.5000
As3 0.5000 0.5000 0.0000
S1 0.5000 0.5000 0.5000

Values from the calculation:
* crystal system: cubic

Going by the computed energies, the most stable comes first: run i, run ii.

Run i
This record from Alexandria via LeMat-Bulk describes an optimized crystal structure of BeAsSe2S. The functional is PBE.

Lattice parameters (Å, degrees): 4.7919 4.7919 4.8497 90.00 90.00 90.00
Sites, in units of the cell vectors:
Be1 0.0000 0.0000 0.0000
As1 0.5000 0.5000 0.0000
Se1 0.0000 0.5000 0.5000
Se2 0.5000 0.0000 0.5000
S1 0.5000 0.5000 0.5000

Values from the calculation:
* crystal system: tetragonal

Run ii
This record from Alexandria via LeMat-Bulk describes an optimized crystal structure of BeAsSe2S. The functional is PBE.

Lattice parameters (Å, degrees): 4.4485 4.4485 4.7016 90.00 90.00 90.00
Sites, in units of the cell vectors:
Be1 0.0000 0.0000 0.0000
As1 0.0000 0.0000 0.5000
Se1 0.0000 0.5000 0.0000
Se2 0.5000 0.0000 0.0000
S1 0.5000 0.5000 0.5000

Values from the calculation:
* crystal system: tetragonal

Going by the computed energies, the most stable comes first: run ii, run i.